VASP calculation (PBE) on a relaxed structure of ScHg3N.

Summary:
DOS(E_F): 7.729 states/eV/cell
E above lowest polymorph: 0.4635 eV/atom
SG: Pm-3m, No. 221
Calculated total energy: -0.068 Ha/atom

The structure in POSCAR format:
```
ScHg3N
1.0
5.7572 0.0000 0.0000
0.0000 5.7572 0.0000
0.0000 0.0000 5.7572
Sc Hg N
1 3 1
direct
0.0000 0.0000 0.0000
0.0000 0.0000 0.5000
0.0000 0.5000 0.0000
0.5000 0.0000 0.0000
0.5000 0.5000 0.5000
```

VASP calculation (PBE) on a relaxed structure of Sc3HgN.

Summary:
DOS(E_F): 9.111 states/eV/cell
SG: I-4m2, No. 119
Calculated total energy: -0.184 Ha/atom

The structure in POSCAR format:
```
Sc3HgN
1.0
-2.1241 2.1241 13.3806
2.1241 -2.1241 13.3806
2.1241 2.1241 -13.3806
Sc Hg N
6 2 2
direct
0.1763 0.1763 0.0000
0.3638 0.6075 0.7563
0.3925 0.1488 0.7563
0.3925 0.6362 0.2437
0.8237 0.8237 0.0000
0.8512 0.6075 0.2437
0.2500 0.7500 0.5000
0.5000 0.5000 0.0000
0.6367 0.1367 0.5000
0.8633 0.3633 0.5000
```